Record 1
# PBE Rb2LaSeF6, relaxed
data_Rb2LaSeF6
_chemical_formula_sum 'Rb4 La2 Se2 F12'
_cell_length_a 6.5113
_cell_length_b 6.5113
_cell_length_c 11.4663
_cell_angle_alpha 90.00
_cell_angle_beta 90.00
_cell_angle_gamma 90.00
_space_group_name_H-M_alt 'I 4/m m m'
_space_group_IT_number 139
_space_group_name_Hall '-I 4 2'
loop_
_atom_site_label
_atom_site_type_symbol
_atom_site_fract_x
_atom_site_fract_y
_atom_site_fract_z
Rb1 Rb 0.0000 0.5000 0.2500
La1 La 0.0000 0.0000 0.0000
Se1 Se 0.0000 0.0000 0.5000
F1 F 0.0000 0.0000 0.1998
F2 F 0.2491 0.2491 0.5000
# VASP energy: -95.8 eV per cell
# N(E_F): 0.52 states/eV/atom

=====

Record 2
# PBE Rb2LaSnF6, relaxed
data_Rb2LaSnF6
_chemical_formula_sum 'Rb4 La2 Sn2 F12'
_cell_length_a 6.6600
_cell_length_b 6.6600
_cell_length_c 11.3332
_cell_angle_alpha 90.00
_cell_angle_beta 90.00
_cell_angle_gamma 90.00
_space_group_name_H-M_alt 'I 4/m m m'
_space_group_IT_number 139
_space_group_name_Hall '-I 4 2'
loop_
_atom_site_label
_atom_site_type_symbol
_atom_site_fract_x
_atom_site_fract_y
_atom_site_fract_z
Rb1 Rb 0.0000 0.5000 0.2500
La1 La 0.0000 0.0000 0.0000
Sn1 Sn 0.0000 0.0000 0.5000
F1 F 0.0000 0.0000 0.2020
F2 F 0.2471 0.2471 0.0000
# VASP energy: -101.3 eV per cell
# N(E_F): 1.00 states/eV/atom

=====

Record 3
# PBE Rb2LaTcF, relaxed
data_Rb2LaTcF
_chemical_formula_sum 'Rb2 La1 Tc1 F1'
_cell_length_a 7.5730
_cell_length_b 7.5730
_cell_length_c 4.0558
_cell_angle_alpha 90.00
_cell_angle_beta 90.00
_cell_angle_gamma 90.00
_space_group_name_H-M_alt 'P 4/m m m'
_space_group_IT_number 123
_space_group_name_Hall '-P 4 2'
loop_
_atom_site_label
_atom_site_type_symbol
_atom_site_fract_x
_atom_site_fract_y
_atom_site_fract_z
Rb1 Rb 0.0000 0.5000 0.0000
La1 La 0.0000 0.0000 0.5000
Tc1 Tc 0.5000 0.5000 0.0000
F1 F 0.5000 0.5000 0.5000
# VASP energy: -16.3 eV per cell
# N(E_F): 1.24 states/eV/atom

=====

Across the entries above, total moment takes the values 2.00 0.00 0.37 μB per cell, respectively.
Across the entries above, formation energy (no corrections) takes the values -2.632 -2.857 0.554 eV per atom, respectively.